Entry 1:
Below is crystalline Cs3VRu at its relaxed geometry, with properties calculated at the PBE level.

POSCAR file:
```
Cs3VRu
1.0
-5.117 -1.029 3.008
-2.424 -2.424 -4.953
2.057 -5.418 1.645
Cs V Ru
3 1 1
direct
0.000 0.000 0.500
0.500 0.000 0.000
0.000 0.500 0.000
0.500 0.500 0.500
0.000 0.000 0.000
```

Output
energy	-2.651	eV per atom
DFT formation energy	1.54	eV per atom


Entry 2:
Below is crystalline CsRu3W at its relaxed geometry, with properties calculated at the PBE level.

POSCAR file:
```
CsRu3W
1.0
4.770 0.000 0.000
0.000 4.770 0.000
0.000 0.000 4.770
Cs Ru W
1 3 1
direct
0.000 0.000 0.000
0.000 0.500 0.000
0.500 0.000 0.000
0.000 0.000 0.500
0.500 0.500 0.500
```

Output
energy	-4.876	eV per atom
DFT formation energy	3.45	eV per atom


Entry 3:
Below is crystalline CsRuW2 at its relaxed geometry, with properties calculated at the PBE level.

POSCAR file:
```
CsRuW2
1.0
1.586 -4.237 1.175
-2.470 -2.695 2.913
-2.145 -3.828 -1.610
W Cs Ru
2 1 1
direct
0.250 0.250 0.250
0.750 0.750 0.750
0.500 0.500 0.500
0.000 0.000 0.000
```

Output
energy	-7.010	eV per atom
DFT formation energy	2.00	eV per atom


Entry 4:
Below is crystalline CsRuW3 at its relaxed geometry, with properties calculated at the PBE level.

POSCAR file:
```
CsRuW3
1.0
-0.469 -4.457 1.832
3.718 0.837 2.987
-3.066 1.696 3.342
W Cs Ru
3 1 1
direct
0.000 0.500 0.000
0.500 0.000 0.000
0.000 0.000 0.500
0.000 0.000 0.000
0.500 0.500 0.500
```

Output
energy	-5.607	eV per atom
DFT formation energy	4.19	eV per atom


Entry 5:
Below is crystalline CsRuW3 at its relaxed geometry, with properties calculated at the PBE level.

POSCAR file:
```
CsRuW3
1.0
4.903 0.000 0.000
0.000 4.903 0.000
0.000 0.000 4.903
W Cs Ru
3 1 1
direct
0.000 0.500 0.000
0.500 0.000 0.000
0.000 0.000 0.500
0.500 0.500 0.500
0.000 0.000 0.000
```

Output
energy	-7.487	eV per atom
DFT formation energy	2.31	eV per atom


Entry 6:
Below is crystalline Cs2Ru2W at its relaxed geometry, with properties calculated at the PBE level.

POSCAR file:
```
Cs2Ru2W
1.0
9.077 0.000 0.000
0.000 9.077 0.000
0.000 0.000 2.997
Cs Ru W
4 4 2
direct
0.869 0.631 0.000
0.369 0.869 0.000
0.131 0.369 0.000
0.631 0.131 0.000
0.818 0.318 0.500
0.182 0.682 0.500
0.682 0.818 0.500
0.318 0.182 0.500
0.000 0.000 0.000
0.500 0.500 0.000
```

Output
energy	-4.006	eV per atom
DFT formation energy	2.64	eV per atom


Entry 7:
Below is crystalline Cs2RuW at its relaxed geometry, with properties calculated at the PBE level.

POSCAR file:
```
Cs2RuW
1.0
1.380 -0.747 5.477
0.486 4.504 3.456
-3.888 0.904 4.066
Ru Cs W
1 2 1
direct
0.000 0.000 0.000
0.750 0.750 0.750
0.250 0.250 0.250
0.500 0.500 0.500
```

Output
energy	-3.283	eV per atom
DFT formation energy	2.70	eV per atom


Entry 8:
Below is crystalline CsRuW2 at its relaxed geometry, with properties calculated at the PBE level.

POSCAR file:
```
CsRuW2
1.0
5.225 0.000 0.000
0.000 5.225 0.000
2.613 2.613 8.518
Ru W Cs
2 4 2
direct
0.250 0.750 0.500
0.500 0.500 0.000
0.875 0.624 0.750
0.376 0.625 0.250
0.374 0.125 0.250
0.375 0.626 0.750
0.000 0.000 0.000
0.750 0.250 0.500
```

Output
energy	-7.022	eV per atom
DFT formation energy	1.99	eV per atom


Entry 9:
Below is crystalline CsY3Ru at its relaxed geometry, with properties calculated at the PBE level.

POSCAR file:
```
CsY3Ru
1.0
-2.830 3.197 3.602
-0.392 -4.317 3.524
4.801 1.533 2.411
Y Ru Cs
3 1 1
direct
0.000 0.000 0.500
0.500 0.000 0.000
0.000 0.500 0.000
0.000 0.000 0.000
0.500 0.500 0.500
```

Output
energy	-5.781	eV per atom
DFT formation energy	0.12	eV per atom


Entry 10:
Below is crystalline CsY2Ru at its relaxed geometry, with properties calculated at the PBE level.

POSCAR file:
```
CsY2Ru
1.0
0.000 3.761 3.761
3.761 0.000 3.761
3.761 3.761 0.000
Y Cs Ru
2 1 1
direct
0.750 0.750 0.750
0.250 0.250 0.250
0.500 0.500 0.500
0.000 0.000 0.000
```

Output
energy	-5.115	eV per atom
DFT formation energy	0.65	eV per atom


Entry 11:
Below is crystalline CsYRu3 at its relaxed geometry, with properties calculated at the PBE level.

POSCAR file:
```
CsYRu3
1.0
-1.995 -4.314 1.144
2.951 -2.215 -3.207
3.349 -0.618 3.508
Cs Ru Y
1 3 1
direct
0.000 0.000 0.000
0.000 0.500 0.000
0.000 0.000 0.500
0.500 0.000 0.000
0.500 0.500 0.500
```

Output
energy	-4.939	eV per atom
DFT formation energy	2.09	eV per atom


Entry 12:
Below is crystalline Cs2YRu2 at its relaxed geometry, with properties calculated at the PBE level.

POSCAR file:
```
Cs2YRu2
1.0
8.990 0.000 0.000
0.000 8.990 0.000
0.000 0.000 3.278
Ru Y Cs
4 2 4
direct
0.188 0.688 0.500
0.812 0.312 0.500
0.688 0.812 0.500
0.312 0.188 0.500
0.500 0.500 0.000
0.000 0.000 0.000
0.866 0.634 0.000
0.366 0.866 0.000
0.134 0.366 0.000
0.634 0.134 0.000
```

Output
energy	-3.706	eV per atom
DFT formation energy	1.64	eV per atom


Entry 13:
Below is crystalline Cs2YRu2 at its relaxed geometry, with properties calculated at the PBE level.

POSCAR file:
```
Cs2YRu2
1.0
5.216 0.000 0.000
0.000 5.216 0.000
2.608 2.608 5.333
Y Ru Cs
1 2 2
direct
0.000 0.000 0.000
0.250 0.750 0.500
0.750 0.250 0.500
0.649 0.649 0.703
0.351 0.351 0.297
```

Output
energy	-3.542	eV per atom
DFT formation energy	1.80	eV per atom


Entry 14:
Below is crystalline Cs2YRu at its relaxed geometry, with properties calculated at the PBE level.

POSCAR file:
```
Cs2YRu
1.0
-5.044 -5.418 -11.793
7.875 -11.334 1.839
-0.391 -9.428 -3.721
Ru Cs Y
2 4 2
direct
0.000 0.000 0.000
0.750 0.250 0.500
0.959 0.625 0.250
0.375 0.209 0.750
0.875 0.041 0.750
0.791 0.125 0.250
0.250 0.750 0.500
0.500 0.500 0.000
```

Output
energy	-3.585	eV per atom
DFT formation energy	0.78	eV per atom